VASP calculation (GGA+U) on LiTmVF6 after structural relaxation.

a b c (Å): 4.9479 4.9479 9.8229
angles (deg): 90.00 90.00 90.00
Closest atoms and distances in Å follow each position.
Space group P4_2nm (No. 102)
Inequivalent atoms, fractional coordinates:
Li (0.0000, 0.0000, 0.0000) [2 per cell]  6 F 2.10-2.15
Tm (0.0000, 0.0000, 0.3347) [2 per cell]  6 F 2.15-2.16
V (0.0000, 0.0000, 0.6686) [2 per cell]  6 F 2.12-2.14
F (0.1925, 0.1925, 0.8358) [4 per cell]  1 Li 2.10, 1 V 2.12, 1 Tm 2.15
F (0.1977, 0.1977, 0.1675) [4 per cell]  1 V 2.12, 1 Tm 2.15, 1 Li 2.15
F (0.1991, 0.1991, 0.5027) [4 per cell]  1 Li 2.11, 1 V 2.14, 1 Tm 2.16

Computed properties:
E ... -6.164 eV/atom
D(E_F) ... 0.00 states/eV/cell